1.
Compound: La2Pr4YHo2
Source: Alexandria via LeMat-Bulk
Functional: GGA-PBE
Structure: relaxed

Unit cell a=5.2072 b=8.2321 c=8.1532 alpha=107.68 beta=90.00 gamma=108.44
Closest atoms and distances in Å follow each position.
Atoms (fractional coordinates):
Ho 0.6671 0.3343 0.0002  5 Pr 3.63-3.66, 3 La 3.64, 2 Ho 3.67, 2 Y 3.69
Y 0.0000 0.0000 0.0000  6 Pr 3.63-3.65, 2 La 3.64, 4 Ho 3.69
Pr 0.2209 0.4417 0.3286  1 Y 3.63, 3 Ho 3.63-3.64, 5 Pr 3.67-3.71, 3 La 3.69-3.71
La 0.8886 0.7772 0.3297  3 Ho 3.64, 1 Y 3.64, 7 Pr 3.68-3.71, 1 La 3.69
Pr 0.5556 0.1113 0.3306  2 Ho 3.65-3.66, 2 Y 3.65, 4 Pr 3.67-3.70, 4 La 3.68-3.70
Ho 0.3329 0.6657 0.9998  5 Pr 3.63-3.66, 3 La 3.64, 2 Ho 3.67, 2 Y 3.69
La 0.1114 0.2228 0.6703  3 Ho 3.64, 1 Y 3.64, 7 Pr 3.68-3.71, 1 La 3.69
Pr 0.7791 0.5583 0.6714  1 Y 3.63, 3 Ho 3.63-3.64, 5 Pr 3.67-3.71, 3 La 3.69-3.71
Pr 0.4444 0.8887 0.6694  2 Ho 3.65-3.66, 2 Y 3.65, 4 Pr 3.67-3.70, 4 La 3.68-3.70

- spin magnetization (μB/atom) = 0.000
- E_form (eV per formula unit) = 0.224

2.
Compound: La4Pr2YHo2
Source: Alexandria via LeMat-Bulk
Functional: GGA-PBE
Structure: relaxed

Unit cell a=5.2250 b=8.2520 c=8.1485 alpha=107.72 beta=90.00 gamma=108.46
Closest atoms and distances in Å follow each position.
Atoms (fractional coordinates):
La 0.5549 0.1098 0.3295  2 Y 3.65, 2 Ho 3.65, 4 La 3.69-3.71, 4 Pr 3.70-3.71
La 0.2230 0.4460 0.3301  3 Ho 3.63-3.65, 1 Y 3.66, 3 Pr 3.67-3.71, 5 La 3.69-3.71
Ho 0.6671 0.3343 0.9997  5 La 3.63-3.65, 3 Pr 3.63-3.64, 2 Ho 3.68, 2 Y 3.70
Pr 0.1125 0.2250 0.6704  3 Ho 3.63-3.64, 1 Y 3.65, 7 La 3.67-3.71, 1 Pr 3.72
La 0.4451 0.8902 0.6705  2 Y 3.65, 2 Ho 3.65, 4 La 3.69-3.71, 4 Pr 3.70-3.71
Ho 0.3329 0.6657 0.0003  5 La 3.63-3.65, 3 Pr 3.63-3.64, 2 Ho 3.68, 2 Y 3.70
Pr 0.8875 0.7750 0.3296  3 Ho 3.63-3.64, 1 Y 3.65, 7 La 3.67-3.71, 1 Pr 3.72
Y 0.0000 0.0000 0.0000  6 La 3.65-3.66, 2 Pr 3.65, 4 Ho 3.70
La 0.7770 0.5540 0.6699  3 Ho 3.63-3.65, 1 Y 3.66, 3 Pr 3.67-3.71, 5 La 3.69-3.71

- spin magnetization (μB/atom) = 0.000
- E_form (eV per formula unit) = 0.246

3.
Compound: LaPr2Y5Ho
Source: Alexandria via LeMat-Bulk
Functional: GGA-PBE
Structure: relaxed

Unit cell a=8.6836 b=8.6836 c=10.0510 alpha=115.59 beta=115.59 gamma=90.00
Closest atoms and distances in Å follow each position.
Atoms (fractional coordinates):
Pr 0.1194 0.3806 0.0000  1 Pr 2.93, 2 Y 3.07
Y 0.0000 0.0000 0.0000  4 Pr 3.46, 8 Y 3.82
La 0.2500 0.7500 0.5000  4 Y 3.10
Pr 0.8806 0.6194 0.0000  1 Pr 2.93, 2 Y 3.07
La 0.7500 0.2500 0.5000  4 Y 3.10
Y 0.6534 0.1534 0.7217  1 Pr 3.07, 1 La 3.10
Y 0.5683 0.6534 0.7217  1 Pr 3.07, 1 La 3.10
Y 0.0683 0.5683 0.7217  1 Pr 3.07, 1 La 3.10
Ho 0.7500 0.7500 0.5000  10 Y 3.58-3.98
Y 0.8466 0.9317 0.2783  1 Pr 3.07, 1 La 3.10
Pr 0.6194 0.1194 0.0000  1 Pr 2.93, 2 Y 3.07
Y 0.5000 0.5000 0.0000  4 Pr 3.46, 8 Y 3.82
Y 0.3466 0.8466 0.2783  1 Pr 3.07, 1 La 3.10
Y 0.4317 0.3466 0.2783  1 Pr 3.07, 1 La 3.10
Pr 0.3806 0.8806 0.0000  1 Pr 2.93, 2 Y 3.07
Ho 0.2500 0.2500 0.5000  10 Y 3.58-3.98
Y 0.9317 0.4317 0.2783  1 Pr 3.07, 1 La 3.10
Y 0.1534 0.0683 0.7217  1 Pr 3.07, 1 La 3.10

- spin magnetization (μB/atom) = 0.000
- E_form (eV per formula unit) = 2.109